DFT (PBE) results for a relaxed structure of YZrRhC2.

As for the total DFT energy (no corrections): -33.86 eV/cell. The crystal system is tetragonal. The density of states at the Fermi level comes out at 4.71 states/eV/f.u.

The space group is P4/mmm (No. 123) and the conventional cell measures 4.168, 4.168 and 4.982 Å, with angles of 90.00, 90.00 and 90.00 degrees. The inequivalent atoms are Y at (0.000, 0.000, 0.000), Zr at (0.500, 0.500, 0.000), Rh at (0.500, 0.500, 0.500) and C at (0.000, 0.500, 0.500).